A plane-wave DFT calculation with PBE was carried out for a relaxed structure of AlTc2W.

Lattice parameters (Å, degrees): 2.7903 4.1288 5.1934 90.00 90.00 90.00
Space group Pmm2 (No. 25)
Unique sites:
Al 0.0000 0.0000 0.0000 x1
Tc 0.0000 0.0000 0.4947 x1
Tc 0.5000 0.5000 0.2292 x1
W 0.5000 0.5000 0.7423 x1

Calculated values
Energy of formation in eV per atom: -0.078
Calculated total energy in eV/atom: -9.435